(1)
First-principles (PBE) data for a relaxed B13C2 crystal, as listed in Alexandria.

```
15
Lattice="-2.5482 4.0895 -1.9477 -3.6481 1.9253 3.1616 1.2773 4.5342 2.1956" Properties=species:S:1:pos:R:3 pbc="T T T"
B -2.4595 5.2745 1.7047
B -2.7155 6.4911 3.6851
B -4.5726 6.2752 1.6737
B -2.1815 7.5417 1.2047
B -2.7375 3.0073 2.2047
B -2.2035 4.0580 -0.2756
B -0.3464 4.2739 1.7358
B -0.8438 1.3747 -0.5899
B 0.3662 1.5153 0.7207
B -1.1918 0.6901 1.0263
B -3.7272 9.8590 2.3832
B -4.0752 9.1744 3.9994
B -5.2852 9.0337 2.6888
C -3.0446 6.5293 2.1103
C -1.8744 4.0197 1.2992
```

Spin magnetization in μB/cell: 0.00
SG: R-3m (166)
ΔE_f in meV/atom: -76

---

(2)
First-principles (PBE) data for a relaxed Tb6Pr2Er crystal, as listed in Alexandria.

```
18
Lattice="-4.9915 1.6498 -4.0383 2.7619 -4.6981 -7.9744 -6.5800 -6.4717 2.8480" Properties=species:S:1:pos:R:3 pbc="T T T"
Tb -2.5343 -4.0225 -6.4560
Tb -5.2547 -4.0050 -8.8015
Tb -6.2753 -5.4975 -2.7087
Tb -3.5549 -5.5150 -0.3632
Tb -6.5129 -2.0565 -2.0884
Tb -8.5635 -7.3546 -4.7267
Tb -2.2967 -7.4635 -7.0763
Tb -0.2461 -2.1654 -4.4379
Tb -5.7530 -9.3556 -4.7359
Tb -2.2788 -1.3154 -0.4194
Tb -3.0566 -0.1644 -4.4287
Tb -6.5308 -8.2046 -8.7453
Pr -3.3266 -7.0455 -3.5387
Pr -3.4622 -3.3896 -3.0566
Pr -5.4830 -2.4745 -5.6260
Pr -5.3474 -6.1305 -6.1081
Er -6.7379 -5.8523 0.5757
Er -2.0718 -3.6677 -9.7403
```

Spin magnetization in μB/cell: 0.00
SG: C2/c (15)
ΔE_f in meV/atom: 115

---

(3)
First-principles (PBE) data for a relaxed BeTl2P crystal, as listed in Alexandria.

```
4
Lattice="4.9013 -0.1023 -0.0185 -1.0363 4.7915 -0.0185 0.8384 1.0173 3.7528" Properties=species:S:1:pos:R:3 pbc="T T T"
P -0.0989 2.9044 1.8671
Tl 0.0000 0.0000 0.0000
Tl 1.9325 2.3446 -0.0185
Be 2.8698 0.4575 1.8671
```

Spin magnetization in μB/cell: 0.00
SG: C2/m (12)
ΔE_f in meV/atom: 719

---

(4)
First-principles (PBE) data for a relaxed Pm3Pr3YS8 crystal, as listed in Alexandria.

```
15
Lattice="-1.7031 -7.9085 0.1443 2.0099 3.8309 6.8374 -7.1765 1.4814 -3.5080" Properties=species:S:1:pos:R:3 pbc="T T T"
Pm -4.4398 -3.2135 -1.6818
Pm -3.4348 -1.2980 1.7369
Pm -2.5833 2.6562 1.6647
Pr 0.0000 0.0000 0.0000
Pr 1.0049 1.9155 3.4187
Pr 0.1534 -2.0388 3.4909
Y -3.5882 0.7407 -1.7540
S -1.2551 0.3175 2.5847
S -5.6146 -2.9136 0.8892
S -2.1288 -3.6311 2.7077
S -4.7409 1.0350 0.7661
S -3.1538 -5.5847 -0.7790
S -3.7158 2.9886 4.2528
S -2.2853 -1.5516 -0.8526
S -4.5844 -1.0445 4.3264
```

Spin magnetization in μB/cell: 0.00
Uncorrected formation energy in meV/atom: -2055
SG: R-3m (166)

---

(5)
First-principles (PBE) data for a relaxed TiInSb2 crystal, as listed in Alexandria.

```
4
Lattice="-2.7918 0.7511 -2.2934 -2.9515 -2.2128 -0.1009 -5.7177 4.3030 5.4006" Properties=species:S:1:pos:R:3 pbc="T T T"
Ti -3.8295 -0.9735 -1.5950
In -5.7253 1.4142 1.4948
Sb -4.9223 3.3012 4.1043
Sb -2.7142 0.5201 0.5053
```

Spin magnetization in μB/cell: 0.00
Uncorrected formation energy in meV/atom: -131
SG: R3m (160)

---

(6)
First-principles (PBE) data for a relaxed CuPOsS2 crystal, as listed in Alexandria.

```
5
Lattice="4.7127 0.0000 0.0000 0.0000 4.7127 0.0000 0.0000 0.0000 4.4922" Properties=species:S:1:pos:R:3 pbc="T T T"
P 0.0000 0.0000 2.2461
S 0.0000 2.3564 0.0000
S 2.3564 0.0000 0.0000
Os 0.0000 0.0000 0.0000
Cu 2.3564 2.3564 2.2461
```

Spin magnetization in μB/cell: 0.00
Uncorrected formation energy in meV/atom: 888
SG: P4/mmm (123)

---

(7)
First-principles (PBE) data for a relaxed BaTmCu2Cl8 crystal, as listed in Alexandria.

```
12
Lattice="-2.3618 1.3527 5.7848 -0.3911 -5.9520 -2.3006 7.9548 -1.9547 3.7049" Properties=species:S:1:pos:R:3 pbc="T T T"
Ba 0.0000 0.0000 0.0000
Tm 3.9774 -0.9774 1.8524
Cu 0.3436 -1.5856 4.0438
Cu 4.8583 -4.9685 3.1453
Cl 6.8376 -5.4548 4.0672
Cl 1.6673 -2.1196 2.2241
Cl 0.5372 -5.5791 2.8253
Cl -1.6357 -1.0992 3.1219
Cl 4.6647 -0.9749 4.3639
Cl 3.5346 -4.4344 4.9650
Cl 2.9782 -1.8407 7.5281
Cl 2.2237 -4.7133 -0.3390
```

Spin magnetization in μB/cell: 1.09
Uncorrected formation energy in meV/atom: -1526
SG: P-3 (147)

---

(8)
First-principles (PBE) data for a relaxed AcSn2Hg crystal, as listed in Alexandria.

```
4
Lattice="-4.4370 1.9173 0.2803 -1.9255 -4.5122 0.3833 0.4130 0.2398 4.8976" Properties=species:S:1:pos:R:3 pbc="T T T"
Ac -2.9748 -1.1776 2.7806
Hg -2.2185 0.9586 0.1401
Sn 0.2065 0.1199 2.4488
Sn -0.9628 -2.2561 0.1916
```

Spin magnetization in μB/cell: 0.00
SG: P4/mmm (123)
ΔE_f in meV/atom: -465

---

(9)
First-principles (PBE) data for a relaxed RbBa2BiSe4 crystal, as listed in Alexandria.

```
16
Lattice="9.2116 0.0516 -0.0519 0.0451 9.2116 -0.0519 -4.6099 -4.6132 6.5997" Properties=species:S:1:pos:R:3 pbc="T T T"
Rb 0.0226 4.6058 -0.0259
Rb 6.9292 2.3508 3.2219
Ba 4.6058 0.0258 -0.0260
Ba 2.3008 -2.2808 3.2739
Ba -2.3050 -2.3066 3.2998
Ba 4.6284 4.6316 -0.0519
Bi 2.3233 2.3250 3.2479
Bi 4.6016 -4.5616 6.5477
Se 2.2368 7.1009 0.0034
Se 4.4356 0.1348 3.1926
Se 0.2111 4.5151 3.3032
Se 2.4101 -2.4508 6.4924
Se 2.4173 2.4534 6.3757
Se 4.5184 4.5560 3.3680
Se 0.1283 0.0941 3.1278
Se 2.2294 2.1966 0.1201
```

Spin magnetization in μB/cell: 0.00
Uncorrected formation energy in meV/atom: -1302
SG: Imma (74)

---

(10)
First-principles (PBE) data for a relaxed CdH2Pt crystal, as listed in Alexandria.

```
4
Lattice="-1.5170 0.6458 -2.8685 -0.8372 -3.1893 -0.2787 -2.5632 2.2584 4.0201" Properties=species:S:1:pos:R:3 pbc="T T T"
Cd -2.7180 -1.0556 1.2635
H -1.4949 -1.1582 -1.3182
H -0.3176 0.1161 0.2532
Pt -1.5640 0.5408 -0.8992
```

Spin magnetization in μB/cell: 0.00
Total energy in eV per cell: -14.0
SG: Cm (8)

---

(11)
First-principles (PBE) data for a relaxed PmYIr crystal, as listed in Alexandria.

```
3
Lattice="3.5226 0.0000 0.0000 0.0000 3.5226 0.0000 -1.7613 -1.7613 6.4874" Properties=species:S:1:pos:R:3 pbc="T T T"
Y 0.0000 0.0000 0.5384
Ir 1.7613 1.7613 2.1271
Pm 0.0000 0.0000 3.8219
```

Spin magnetization in μB/cell: 0.00
SG: I4mm (107)
ΔE_f in meV/atom: -491

---

(12)
First-principles (PBE) data for a relaxed La5Tb5Tm2 crystal, as listed in Alexandria.

```
12
Lattice="-2.4159 3.6485 -2.6998 -1.4758 -4.5366 -9.7063 -7.7748 0.2811 2.4411" Properties=species:S:1:pos:R:3 pbc="T T T"
La -5.2085 1.3947 -3.2465
La -8.6591 2.6909 -3.3031
La -3.0073 -3.2980 -6.6619
La -6.4580 -2.0018 -6.7184
La 0.0000 0.0000 0.0000
Tb -4.6253 -2.1278 -3.6326
Tb -9.8369 -0.6781 -6.8021
Tb -3.4083 1.3054 -0.0821
Tb -8.2582 -1.9124 -9.8829
Tb -1.8295 0.0711 -3.1629
Tm -8.0379 -0.8254 -3.7150
Tm -3.6286 0.2184 -6.2500
```

Spin magnetization in μB/cell: 0.00
SG: C2/m (12)
ΔE_f in meV/atom: 29

---

(13)
First-principles (PBE) data for a relaxed Mn3IBr7 crystal, as listed in Alexandria.

```
11
Lattice="-4.9334 4.9047 3.0230 -1.4745 -0.2939 7.5865 2.9310 6.4267 3.8722" Properties=species:S:1:pos:R:3 pbc="T T T"
Mn 1.0393 4.1582 4.4655
Mn -2.1584 6.4347 9.7794
Mn 0.2834 4.0070 8.2831
I -2.1383 9.3146 9.9456
Br -2.0082 3.7529 9.6656
Br -0.0204 6.5284 8.4065
Br -4.3019 6.3976 11.1474
Br 0.7619 6.6116 4.4138
Br -1.8999 9.2580 6.0448
Br -0.9458 3.9571 5.9258
Br -3.6117 6.6076 7.5594
```

Spin magnetization in μB/cell: 13.00
Uncorrected formation energy in meV/atom: -629
SG: Cm (8)

---

(14)
First-principles (PBE) data for a relaxed LaTaTe2 crystal, as listed in Alexandria.

```
4
Lattice="-2.4783 -0.9256 3.0529 -4.5216 -2.3593 -4.3858 -1.3568 -5.4137 -2.7427" Properties=species:S:1:pos:R:3 pbc="T T T"
La -4.1783 -4.3493 -2.0378
Ta -0.6784 -2.7069 -1.3714
Te 0.0000 0.0000 0.0000
Te -3.4999 -1.6424 -0.6664
```

Spin magnetization in μB/cell: 2.08
Uncorrected formation energy in meV/atom: -246
SG: P2/m (10)

---

(15)
First-principles (PBE) data for a relaxed CdTeOs crystal, as listed in Alexandria.

```
3
Lattice="-0.3213 4.3926 1.1333 -0.3206 -3.2058 3.2097 3.4249 0.1290 0.4710" Properties=species:S:1:pos:R:3 pbc="T T T"
Te 1.3913 -0.6085 2.7530
Os 1.3914 1.9243 2.0609
Cd 0.0002 0.0000 0.0000
```

Spin magnetization in μB/cell: 0.00
Uncorrected formation energy in meV/atom: 725
SG: P-6m2 (187)

---

(16)
First-principles (PBE) data for a relaxed Mn3Ni7Ge2 crystal, as listed in Alexandria.

```
12
Lattice="-1.3269 -0.8127 -3.4028 3.4543 -0.8578 -1.1375 2.2421 -8.9840 7.4345" Properties=species:S:1:pos:R:3 pbc="T T T"
Mn 1.0637 -0.8353 -2.2701
Mn 3.7924 -6.5964 4.2084
Mn 0.5772 -4.0581 -1.3141
Ni 2.5442 -2.8968 -2.3554
Ni 3.3802 -5.3392 2.0132
Ni 0.0000 0.0000 0.0000
Ni 1.8253 -7.7578 5.2497
Ni 2.8890 -8.5927 2.9791
Ni 1.4805 -2.0619 -0.0848
Ni 0.9893 -5.3154 0.8811
Ge 2.9637 -4.1051 -0.1751
Ge 1.4058 -6.5494 3.0694
```

Spin magnetization in μB/cell: 13.95
SG: C2/m (12)
ΔE_f in meV/atom: -179

---

(17)
First-principles (PBE) data for a relaxed RbFeBr3 crystal, as listed in Alexandria.

```
5
Lattice="4.3535 -0.0015 -0.0028 -0.0013 6.2501 0.0050 -0.0031 -0.2808 6.2506" Properties=species:S:1:pos:R:3 pbc="T T T"
Rb 0.1241 2.4552 4.5972
Fe 2.2903 6.1533 1.0723
Br 2.2906 2.2514 1.5936
Br 0.1145 5.2702 1.9216
Br 2.2996 5.4542 4.9530
```

Spin magnetization in μB/cell: 4.00
Uncorrected formation energy in meV/atom: -919
SG: P1 (1)

---

(18)
First-principles (PBE) data for a relaxed In2TcGe crystal, as listed in Alexandria.

```
8
Lattice="10.2687 0.0000 0.0000 0.0000 10.2687 0.0000 5.1344 5.1344 2.3906" Properties=species:S:1:pos:R:3 pbc="T T T"
Ge 5.1344 5.1344 0.0000
Ge 5.1344 10.2687 1.1953
Tc 0.0000 0.0000 0.0000
Tc 10.2687 5.1344 1.1953
In 10.2660 2.5672 0.5976
In 10.2715 7.7015 0.5976
In 7.7015 5.1371 1.7929
In 12.8359 5.1316 1.7929
```

Spin magnetization in μB/cell: 0.00
SG: I4_1/amd (141)
ΔE_f in meV/atom: 231

---

(19)
First-principles (PBE) data for a relaxed Ac2TlAs3Rh4 crystal, as listed in Alexandria.

```
10
Lattice="-2.4536 -0.8477 3.4285 -3.4018 -0.5547 -2.5717 2.4639 -10.8497 -0.9192" Properties=species:S:1:pos:R:3 pbc="T T T"
Ac -0.6221 -3.0868 1.4886
Ac 0.1582 -8.4640 -1.9794
Tl -1.6958 -6.1260 -0.0312
As 1.2319 -5.4248 -0.4596
As 0.9354 -9.9452 0.9076
As -1.3993 -1.6056 -1.3984
Rh -2.9277 -0.7012 0.4284
Rh 0.0000 0.0000 0.0000
Rh 0.3973 -7.5754 1.1084
Rh -0.8611 -3.9754 -1.5991
```

Spin magnetization in μB/cell: 0.00
SG: P-4m2 (115)
ΔE_f in meV/atom: -754

---

(20)
First-principles (PBE) data for a relaxed Zr2NpIr crystal, as listed in Alexandria.

```
4
Lattice="3.1605 0.0000 0.0000 0.0000 4.9839 0.0000 0.0000 0.0000 4.9839" Properties=species:S:1:pos:R:3 pbc="T T T"
Np 1.5803 2.4919 2.4919
Ir 1.5803 0.0000 0.0000
Zr 0.0000 0.0000 2.4919
Zr 0.0000 2.4919 0.0000
```

Spin magnetization in μB/cell: 3.90
SG: P4/mmm (123)
ΔE_f in meV/atom: -125